SrRuPt3, optimized geometry, DFT PBEsol; energy of formation = 2.42 eV/atom; size of the total moment = 2.9 μB/cell; space-group type = Pm-3m, No. 221
1.0
4.9684 0.0000 0.0000
0.0000 4.9684 0.0000
0.0000 0.0000 4.9684
Ru Pt Sr
1 3 1
Direct
0.5000 0.5000 0.5000
0.0000 0.5000 0.0000
0.0000 0.0000 0.5000
0.5000 0.0000 0.0000
0.0000 0.0000 0.0000


CoSbP2O8, optimized geometry, DFT PBEsol; size of the total moment = 8.0 μB/cell; formation energy (no corrections) = -20.279 eV per formula unit; space-group type = P2_1/m, No. 11
1.0
-4.2670 2.1836 -0.5189
-1.7386 -4.4547 -4.4490
-1.8358 -6.4465 7.1720
Co Sb P O
2 2 4 16
Direct
0.8931 0.7500 0.7786
0.1069 0.2500 0.2214
0.3111 0.2500 0.6803
0.6889 0.7500 0.3197
0.8701 0.2500 0.8862
0.1299 0.7500 0.1138
0.2609 0.7500 0.6014
0.7391 0.2500 0.3986
0.0958 0.7500 0.9526
0.9042 0.2500 0.0474
0.1766 0.2500 0.8604
0.8234 0.7500 0.1396
0.5875 0.7500 0.6258
0.4125 0.2500 0.3742
0.8531 0.2500 0.5549
0.1469 0.7500 0.4451
0.6997 0.0600 0.8231
0.6997 0.4400 0.8231
0.3003 0.5600 0.1769
0.3003 0.9400 0.1769
0.1457 0.9300 0.6793
0.1457 0.5700 0.6793
0.8543 0.0700 0.3207
0.8543 0.4300 0.3207


SrLi2Hg, optimized geometry, DFT PBEsol; energy of formation = -0.15 eV/atom; size of the total moment = 0.0 μB/cell; space-group type = I-42d, No. 122
1.0
4.5907 0.0000 0.0000
0.0000 4.5907 0.0000
-2.2953 -2.2953 10.3679
Sr Hg Li
2 2 4
Direct
0.7500 0.2500 0.5000
0.5000 0.5000 0.0000
0.2500 0.7500 0.5000
0.0000 0.0000 0.0000
0.2698 0.8750 0.2500
0.9802 0.3750 0.2500
0.1250 0.0198 0.7500
0.6250 0.7302 0.7500


BeCdW2, optimized geometry, DFT PBEsol; energy of formation = 0.51 eV/atom; energy above the most stable polymorph in this dataset = 0.055 eV/atom; size of the total moment = 0.0 μB/cell; space-group type = R3m, No. 160
1.0
-1.2051 -2.4324 -0.5833
-0.8565 -1.6540 2.0590
-8.8847 2.7289 0.3681
Be W Cd
1 2 1
Direct
0.4957 0.4957 0.5130
0.0038 0.0038 0.9887
0.7573 0.7573 0.7282
0.2433 0.2433 0.2701


KCdSnW2, optimized geometry, DFT PBEsol; energy of formation = 3.12 eV/atom; size of the total moment = 0.0 μB/cell; space-group type = P4/mmm, No. 123
1.0
4.5942 0.0000 0.0000
0.0000 4.5942 0.0000
0.0000 0.0000 5.3168
K Sn W Cd
1 1 2 1
Direct
0.0000 0.0000 0.0000
0.0000 0.0000 0.5000
0.0000 0.5000 0.0000
0.5000 0.0000 0.0000
0.5000 0.5000 0.5000


OsRu2Pb, optimized geometry, DFT PBEsol; energy of formation = 0.50 eV/atom; size of the total moment = 0.0 μB/cell; space-group type = P4/mmm, No. 123
1.0
2.8787 0.0000 0.0000
0.0000 2.8787 0.0000
0.0000 0.0000 7.5777
Os Pb Ru
1 1 2
Direct
0.5000 0.5000 0.0000
0.5000 0.5000 0.5000
0.0000 0.0000 0.7755
0.0000 0.0000 0.2245


Hf3IrS, optimized geometry, DFT PBEsol; size of the total moment = 0.0 μB/cell; formation energy (no corrections) = -1.671 eV per formula unit; space-group type = Pm-3m, No. 221
1.0
4.5935 0.0000 0.0000
0.0000 4.5935 0.0000
0.0000 0.0000 4.5935
S Ir Hf
1 1 3
Direct
0.0000 0.0000 0.0000
0.5000 0.5000 0.5000
0.0000 0.5000 0.0000
0.0000 0.0000 0.5000
0.5000 0.0000 0.0000


FeHg2Pb, optimized geometry, DFT PBEsol; energy of formation = 0.32 eV/atom; size of the total moment = 2.8 μB/cell; space-group type = P4/mmm, No. 123
1.0
-2.9806 0.5321 -0.7837
-0.7062 -2.9727 0.6676
-1.7165 2.2112 8.0300
Fe Hg Pb
1 2 1
Direct
0.5000 0.5000 0.5000
0.0000 0.0000 0.6982
0.0000 0.0000 0.3018
0.5000 0.5000 0.0000


Number 1: DOS at the Fermi energy 1.463 states/eV per atom, ρ 10.5 g/cm³. Number 2: DOS at the Fermi energy 0.217 states/eV per atom, ρ 4.1 g/cm³. Number 3: DOS at the Fermi energy 0.540 states/eV per atom, ρ 4.6 g/cm³. Number 4: DOS at the Fermi energy 0.547 states/eV per atom, ρ 13.3 g/cm³. Number 5: DOS at the Fermi energy 1.120 states/eV per atom, ρ 9.4 g/cm³. Number 6: DOS at the Fermi energy 0.753 states/eV per atom, ρ 15.9 g/cm³. Number 7: DOS at the Fermi energy 0.375 states/eV per atom, ρ 13.0 g/cm³. Number 8: DOS at the Fermi energy 0.579 states/eV per atom, ρ 13.3 g/cm³.